## 1
Entry from the Alexandria database: crystalline LiTaSiO5 at its relaxed geometry (GGA-PBE).

Properties
- M_tot: 0.000 μB per formula unit
- Density: 4.98 g/cm3

Cell: 5.497 5.497 7.498 Å, 109.32 109.32 94.16°
Sites, in units of the cell vectors:
O 0.292 0.321 0.645
O 0.778 0.254 0.080
O 0.222 0.746 0.920
O 0.321 0.292 0.145
O 0.708 0.679 0.355
O 0.925 0.075 0.750
O 0.746 0.222 0.420
O 0.075 0.925 0.250
O 0.254 0.778 0.580
O 0.679 0.708 0.855
Ta 0.000 0.000 0.500
Ta 0.000 0.000 0.000
Si 0.644 0.356 0.250
Si 0.356 0.644 0.750
Li 0.317 0.683 0.250
Li 0.683 0.317 0.750


## 2
Entry from the Alexandria database: crystalline LiTaSiO5 at its relaxed geometry (GGA-PBE).

Properties
- M_tot: 0.000 μB per formula unit
- Density: 4.98 g/cm3

Cell: 7.995 7.507 7.549 Å, 60.67 90.00 90.00°
Sites, in units of the cell vectors:
Si 0.608 0.749 0.259
Si 0.892 0.749 0.759
Si 0.392 0.251 0.741
Si 0.108 0.251 0.241
Ta 0.260 0.748 0.992
Ta 0.740 0.252 0.008
Ta 0.240 0.748 0.492
Ta 0.760 0.252 0.508
Li 0.568 0.751 0.692
Li 0.932 0.751 0.192
Li 0.068 0.249 0.808
Li 0.432 0.249 0.308
O 0.260 0.443 0.645
O 0.514 0.268 0.907
O 0.486 0.732 0.093
O 0.014 0.732 0.593
O 0.986 0.268 0.407
O 0.735 0.945 0.146
O 0.510 0.239 0.569
O 0.765 0.945 0.646
O 0.010 0.761 0.931
O 0.740 0.557 0.355
O 0.490 0.761 0.431
O 0.240 0.443 0.145
O 0.235 0.055 0.354
O 0.760 0.557 0.855
O 0.327 0.751 0.748
O 0.673 0.249 0.252
O 0.265 0.055 0.854
O 0.990 0.239 0.069
O 0.827 0.249 0.752
O 0.173 0.751 0.248


Verdict on stability: 1 comes out at the bottom.


## 1
Entry from the Alexandria database: crystalline LiTiSi4O10 at its relaxed geometry (GGA-PBE).

Properties
- M_tot: 1.000 μB per formula unit
- Density: 2.34 g/cm3

Cell: 5.347 8.023 11.581 Å, 68.89 90.00 90.00°
Each line ends with the local moment (μB).
Sites, in units of the cell vectors:
Ti 0.748 0.000 0.250  0.85
Ti 0.252 0.000 0.750  0.85
O 0.788 0.733 0.052  0.00
O 0.993 0.500 0.750  0.00
O 0.007 0.500 0.250  0.00
O 0.788 0.267 0.448  0.00
O 0.212 0.733 0.552  0.00
O 0.500 0.500 0.500  0.00
O 0.212 0.267 0.948  0.00
O 0.712 0.262 0.920  0.00
O 0.503 0.846 0.356  0.00
O 0.994 0.846 0.221  0.00
O 0.503 0.154 0.144  0.00
O 0.497 0.154 0.644  0.00
O 0.288 0.738 0.080  0.00
O 0.006 0.846 0.721  0.00
O 0.497 0.846 0.856  0.00
O 0.006 0.154 0.779  0.00
O 0.994 0.154 0.279  0.00
O 0.500 0.500 0.000  0.00
O 0.288 0.262 0.420  0.00
O 0.712 0.738 0.580  0.00
Si 0.018 0.297 0.349  0.00
Si 0.483 0.703 0.498  0.00
Si 0.483 0.297 0.002  0.00
Si 0.018 0.703 0.151  0.00
Si 0.517 0.703 0.998  0.00
Si 0.982 0.703 0.651  0.00
Si 0.517 0.297 0.502  0.00
Si 0.982 0.297 0.849  0.00
Li 0.751 0.000 0.750  0.00
Li 0.249 0.000 0.250  0.00


## 2
Entry from the Alexandria database: crystalline LiTiSi4O10 at its relaxed geometry (GGA-PBE).

Properties
- M_tot: 1.000 μB per formula unit
- Density: 2.75 g/cm3

Cell: 4.862 7.217 11.267 Å, 90.00 90.00 90.00°
Each line ends with the local moment (μB).
Sites, in units of the cell vectors:
O 0.683 0.344 0.415  -0.01
O 0.000 0.500 0.716  0.00
O 0.174 0.341 0.270  0.01
O 0.174 0.159 0.770  0.01
O 0.500 0.500 0.965  0.00
O 0.000 0.000 0.216  0.00
O 0.272 0.795 0.633  0.00
O 0.500 0.000 0.465  0.00
O 0.227 0.297 0.547  0.00
O 0.227 0.203 0.047  0.00
O 0.773 0.703 0.547  0.00
O 0.728 0.205 0.633  0.00
O 0.317 0.656 0.415  -0.01
O 0.826 0.659 0.270  0.01
O 0.272 0.705 0.133  0.00
O 0.773 0.797 0.047  0.00
O 0.317 0.844 0.915  -0.01
O 0.683 0.156 0.915  -0.01
O 0.826 0.841 0.770  0.01
O 0.728 0.295 0.133  0.00
Si 0.463 0.712 0.011  0.00
Si 0.035 0.213 0.171  0.00
Si 0.965 0.787 0.171  0.00
Si 0.965 0.713 0.671  0.00
Si 0.463 0.788 0.511  0.00
Si 0.537 0.288 0.011  0.00
Si 0.537 0.212 0.511  0.00
Si 0.035 0.287 0.671  0.00
Ti 0.000 0.500 0.395  0.88
Ti 0.000 0.000 0.895  0.88
Li 0.500 0.000 0.775  0.00
Li 0.500 0.500 0.275  0.00


Verdict on stability: 2 comes out at the bottom.